1.
Here is a relaxed structure of BiPbAu3 from Alexandria. Energies are from GGA-PBE. Values from VASP.

Quantum ESPRESSO input file:
```
&SYSTEM
  ibrav = 0, nat = 10, ntyp = 3
/
ATOMIC_SPECIES
Pb 207.20 Pb.upf
Au 196.97 Au.upf
Bi 208.98 Bi.upf
CELL_PARAMETERS angstrom
-3.229 4.821 -0.980
-3.978 -6.386 0.331
0.927 -2.599 6.486
ATOMIC_POSITIONS angstrom
Pb -1.525 -2.284 1.698
Pb -4.756 -1.880 4.139
Au -2.706 -4.017 4.096
Au -2.436 0.193 4.575
Au -2.190 2.213 2.550
Au -4.091 -6.377 3.287
Au -3.575 -0.147 1.741
Au -3.845 -4.357 1.261
Bi -1.065 -2.174 5.680
Bi -5.216 -1.990 0.156
```

energy of formation	-0.18	eV per formula unit
DFT total energy	-3.520	eV per atom

---

2.
Here is a relaxed structure of ReOs2Pd from Alexandria. Energies are from GGA-PBE. Values from VASP.

Quantum ESPRESSO input file:
```
&SYSTEM
  ibrav = 0, nat = 4, ntyp = 3
/
ATOMIC_SPECIES
Os 190.23 Os.upf
Pd 106.42 Pd.upf
Re 186.21 Re.upf
CELL_PARAMETERS angstrom
-1.191 -4.213 -0.254
-3.875 -1.082 -1.745
-0.168 -2.000 -3.899
ATOMIC_POSITIONS angstrom
Os -3.926 -5.471 -4.423
Os -1.309 -1.824 -1.474
Pd 0.000 0.000 0.000
Re -2.617 -3.647 -2.949
```

energy of formation	2.09	eV per formula unit
DFT total energy	-9.503	eV per atom

---

3.
Here is a relaxed structure of Mg2CoTe from Alexandria. Energies are from GGA-PBE. Values from VASP.

Quantum ESPRESSO input file:
```
&SYSTEM
  ibrav = 0, nat = 4, ntyp = 3
/
ATOMIC_SPECIES
Te 127.60 Te.upf
Mg 24.30 Mg.upf
Co 58.93 Co.upf
CELL_PARAMETERS angstrom
-0.326 -2.214 -3.845
4.417 -0.479 0.227
-0.456 -3.289 1.932
ATOMIC_POSITIONS angstrom
Te -0.391 -2.751 -0.957
Mg 2.045 -1.346 -1.809
Mg 0.000 0.000 0.000
Co 1.981 -1.884 1.080
```

DFT total energy	-3.316	eV per atom
energy relative to the elements, uncorrected	0.04	eV/atom